Material: VGa2TcCl
Method: DFT, PBE
State: relaxed

Cell lengths 4.799, 4.799, 4.255 Å; angles 90.00, 90.00, 90.00 degrees
Positions (direct):
V: 0.000 0.000 0.000
Ga: 0.000 0.500 0.500
Ga: 0.500 0.000 0.500
Tc: 0.500 0.500 0.000
Cl: 0.500 0.500 0.500

Summary:
- Size of the total moment: 0.19 μB per formula unit
- Total DFT energy (no corrections): -4.212 eV per atom
- D(E_F): 6.7 states/eV/f.u.

=====

Material: GaTcWCl2
Method: DFT, PBE
State: relaxed

Cell lengths 4.585, 4.585, 5.478 Å; angles 90.00, 90.00, 90.00 degrees
Positions (direct):
Ga: 0.000 0.000 0.000
Tc: 0.500 0.500 0.000
W: 0.000 0.000 0.500
Cl: 0.000 0.500 0.500
Cl: 0.500 0.000 0.500

Summary:
- Size of the total moment: 4.39 μB per formula unit
- Total DFT energy (no corrections): -4.935 eV per atom
- D(E_F): 3.9 states/eV/f.u.

=====

Material: GaTe2Cl
Method: DFT, PBE
State: relaxed

Cell lengths 4.217, 4.217, 25.053 Å; angles 90.00, 90.00, 120.00 degrees
Positions (direct):
Ga: 0.000 0.000 0.000
Ga: 0.333 0.667 0.667
Ga: 0.667 0.333 0.333
Te: 0.000 0.000 0.393
Te: 0.000 0.000 0.607
Te: 0.333 0.667 0.060
Te: 0.333 0.667 0.274
Te: 0.667 0.333 0.726
Te: 0.667 0.333 0.940
Cl: 0.000 0.000 0.500
Cl: 0.333 0.667 0.167
Cl: 0.667 0.333 0.833

Summary:
- Size of the total moment: 0.00 μB per formula unit
- Energy relative to the lowest polymorph listed for this composition: 0.296 eV per atom
- Total DFT energy (no corrections): -2.934 eV per atom
- D(E_F): 0.8 states/eV/f.u.

=====

Material: GaTe2Cl
Method: DFT, PBE
State: relaxed

Cell lengths 7.248, 7.248, 7.248 Å; angles 90.00, 90.00, 90.00 degrees
Positions (direct):
Ga: 0.000 0.000 0.000
Ga: 0.000 0.500 0.500
Ga: 0.500 0.000 0.500
Ga: 0.500 0.500 0.000
Te: 0.250 0.250 0.250
Te: 0.250 0.250 0.750
Te: 0.250 0.750 0.250
Te: 0.250 0.750 0.750
Te: 0.750 0.250 0.250
Te: 0.750 0.250 0.750
Te: 0.750 0.750 0.250
Te: 0.750 0.750 0.750
Cl: 0.000 0.000 0.500
Cl: 0.000 0.500 0.000
Cl: 0.500 0.000 0.000
Cl: 0.500 0.500 0.500

Summary:
- Size of the total moment: 0.00 μB per formula unit
- Energy relative to the lowest polymorph listed for this composition: 0.594 eV per atom
- Total DFT energy (no corrections): -2.636 eV per atom
- D(E_F): 2.8 states/eV/f.u.